# 1
The following is a GGA-PBEsol calculation of a relaxed Mn2AgMo crystal, from the Alexandria database.

Formation enthalpy at 0 K, eV per formula unit: 1.634
Excess energy over the best structure of this formula in the dataset, eV per atom: 0.0000

Cell and atoms, written as POSCAR:
```
Mn2AgMo
1.0
2.715 0.000 0.000
0.000 3.488 0.000
-0.004 0.000 5.637
Mn Ag Mo
2 1 1
Direct
0.000 0.000 0.000
0.469 0.500 0.172
0.972 0.000 0.461
0.467 0.500 0.770
```

# 2
The following is a GGA-PBEsol calculation of a relaxed CoRh crystal, from the Alexandria database.

Formation enthalpy at 0 K, eV per formula unit: 0.206

Cell and atoms, written as POSCAR:
```
CoRh
1.0
3.850 0.000 0.000
0.000 1.292 7.316
0.000 -1.292 7.316
Co Rh
3 3
Direct
0.000 0.000 0.000
0.000 0.163 0.163
0.500 0.246 0.246
0.000 0.820 0.820
0.500 0.416 0.416
0.500 0.592 0.592
```

# 3
The following is a GGA-PBEsol calculation of a relaxed KLi2Co crystal, from the Alexandria database.

Formation enthalpy at 0 K, eV per formula unit: 2.554
Excess energy over the best structure of this formula in the dataset, eV per atom: 0.0570

Cell and atoms, written as POSCAR:
```
KLi2Co
1.0
-1.372 2.883 5.712
1.372 -2.883 5.712
1.372 2.883 -5.712
K Li Co
1 2 1
Direct
0.000 0.000 0.000
0.308 0.808 0.500
0.692 0.192 0.500
0.500 0.500 0.000
```

# 4
The following is a GGA-PBEsol calculation of a relaxed BaSeO2 crystal, from the Alexandria database.

VASP energy, eV/atom: -5.495

Cell and atoms, written as POSCAR:
```
BaSeO2
1.0
2.049 1.183 6.235
-2.049 1.183 6.235
0.000 -2.366 6.235
Ba Se O
1 1 2
Direct
0.000 0.000 0.000
0.500 0.500 0.500
0.399 0.399 0.399
0.601 0.601 0.601
```

# 5
The following is a GGA-PBEsol calculation of a relaxed ScBe3Pt crystal, from the Alexandria database.

Formation enthalpy at 0 K, eV per formula unit: -0.644

Cell and atoms, written as POSCAR:
```
ScBe3Pt
1.0
4.195 0.000 0.000
0.000 4.195 0.000
0.000 0.000 4.195
Sc Be Pt
1 3 1
Direct
0.000 0.000 0.000
0.000 0.500 0.500
0.500 0.000 0.500
0.500 0.500 0.000
0.500 0.500 0.500
```

# 6
The following is a GGA-PBEsol calculation of a relaxed AlFe3H crystal, from the Alexandria database.

VASP energy, eV/atom: -7.040

Cell and atoms, written as POSCAR:
```
AlFe3H
1.0
3.628 0.000 0.000
0.000 3.628 0.000
0.000 0.000 3.628
Al Fe H
1 3 1
Direct
0.000 0.000 0.000
0.000 0.500 0.500
0.500 0.000 0.500
0.500 0.500 0.000
0.500 0.500 0.500
```

# 7
The following is a GGA-PBEsol calculation of a relaxed RbPRhO2 crystal, from the Alexandria database.

VASP energy, eV/atom: -5.183

Cell and atoms, written as POSCAR:
```
RbPRhO2
1.0
4.181 0.000 0.000
0.000 4.181 0.000
0.000 0.000 4.433
Rb P Rh O
1 1 1 2
Direct
0.000 0.000 0.000
0.500 0.500 0.000
0.500 0.500 0.500
0.000 0.500 0.500
0.500 0.000 0.500
```

# 8
The following is a GGA-PBEsol calculation of a relaxed ZrTe2Br crystal, from the Alexandria database.

Excess energy over the best structure of this formula in the dataset, eV per atom: 0.2822

Cell and atoms, written as POSCAR:
```
ZrTe2Br
1.0
5.202 -1.823 0.000
5.202 1.823 0.000
-1.323 0.000 5.346
Zr Te Br
1 2 1
Direct
0.000 0.000 0.000
0.280 0.280 0.793
0.720 0.720 0.207
0.500 0.500 0.500
```

# 9
The following is a GGA-PBEsol calculation of a relaxed Ba3CaIr2O9 crystal, from the Alexandria database.

Excess energy over the best structure of this formula in the dataset, eV per atom: 0.0128

Cell and atoms, written as POSCAR:
```
Ba3CaIr2O9
1.0
5.809 0.000 0.000
-2.905 5.031 0.000
0.000 0.000 7.135
Ba Ca Ir O
3 1 2 9
Direct
0.000 0.000 0.000
0.333 0.667 0.663
0.667 0.333 0.337
0.000 0.000 0.500
0.333 0.667 0.156
0.667 0.333 0.844
0.000 0.500 0.000
0.178 0.357 0.315
0.178 0.822 0.315
0.357 0.178 0.685
0.500 0.000 0.000
0.500 0.500 0.000
0.643 0.822 0.315
0.822 0.178 0.685
0.822 0.643 0.685
```

# 10
The following is a GGA-PBEsol calculation of a relaxed Li6Fe5CoO12 crystal, from the Alexandria database.

VASP energy, eV/atom: -6.865

Cell and atoms, written as POSCAR:
```
Li6Fe5CoO12
1.0
2.407 -4.178 0.000
2.407 4.178 0.000
-1.594 0.000 9.529
Li Fe Co O
6 5 1 12
Direct
0.079 0.747 0.742
0.253 0.921 0.258
0.411 0.411 0.742
0.589 0.589 0.258
0.747 0.079 0.742
0.921 0.253 0.258
0.167 0.833 0.000
0.333 0.667 0.500
0.500 0.500 0.000
0.667 0.333 0.500
0.833 0.167 0.000
0.000 0.000 0.500
0.036 0.368 0.609
0.129 0.129 0.889
0.204 0.537 0.112
0.296 0.296 0.391
0.368 0.036 0.609
0.463 0.796 0.888
0.537 0.204 0.112
0.632 0.964 0.391
0.704 0.704 0.609
0.796 0.463 0.888
0.871 0.871 0.111
0.964 0.632 0.391
```

# 11
The following is a GGA-PBEsol calculation of a relaxed Si3TcPt crystal, from the Alexandria database.

VASP energy, eV/atom: -6.491

Cell and atoms, written as POSCAR:
```
Si3TcPt
1.0
4.522 0.000 0.000
0.000 4.522 0.000
0.000 0.000 4.522
Si Tc Pt
3 1 1
Direct
0.000 0.000 0.500
0.000 0.500 0.000
0.500 0.000 0.000
0.000 0.000 0.000
0.500 0.500 0.500
```

# 12
The following is a GGA-PBEsol calculation of a relaxed ZnCr2Cl crystal, from the Alexandria database.

Excess energy over the best structure of this formula in the dataset, eV per atom: 0.4346

Cell and atoms, written as POSCAR:
```
ZnCr2Cl
1.0
3.038 -3.452 0.000
3.038 3.452 0.000
0.000 0.000 2.931
Zn Cr Cl
1 2 1
Direct
0.000 0.000 0.000
0.000 0.500 0.500
0.500 0.000 0.500
0.500 0.500 0.000
```

# 13
The following is a GGA-PBEsol calculation of a relaxed LiPdCl2 crystal, from the Alexandria database.

Excess energy over the best structure of this formula in the dataset, eV per atom: 0.0000

Cell and atoms, written as POSCAR:
```
LiPdCl2
1.0
0.000 3.208 3.208
3.208 0.000 3.208
3.208 3.208 0.000
Li Pd Cl
1 1 2
Direct
0.000 0.000 0.000
0.500 0.500 0.500
0.250 0.250 0.250
0.750 0.750 0.750
```

# 14
The following is a GGA-PBEsol calculation of a relaxed NiMo2Os crystal, from the Alexandria database.

Formation enthalpy at 0 K, eV per formula unit: 0.113
Excess energy over the best structure of this formula in the dataset, eV per atom: 0.0466

Cell and atoms, written as POSCAR:
```
NiMo2Os
1.0
2.707 0.000 0.000
0.000 3.836 0.000
0.000 0.000 5.312
Ni Mo Os
1 2 1
Direct
0.000 0.000 0.000
0.500 0.500 0.249
0.500 0.500 0.751
0.000 0.000 0.500
```

# 15
The following is a GGA-PBEsol calculation of a relaxed Cs2BaCuSn crystal, from the Alexandria database.

Formation enthalpy at 0 K, eV per formula unit: 0.887

Cell and atoms, written as POSCAR:
```
Cs2BaCuSn
1.0
6.452 0.000 0.000
0.000 6.452 0.000
0.000 0.000 5.049
Cs Ba Cu Sn
2 1 1 1
Direct
0.000 0.500 0.000
0.500 0.000 0.000
0.000 0.000 0.500
0.500 0.500 0.000
0.500 0.500 0.500
```

# 16
The following is a GGA-PBEsol calculation of a relaxed LiYTe crystal, from the Alexandria database.

VASP energy, eV/atom: -5.043

Cell and atoms, written as POSCAR:
```
LiYTe
1.0
4.365 0.000 0.000
-2.182 3.780 0.000
0.000 0.000 3.929
Li Y Te
1 1 1
Direct
0.000 0.000 0.000
0.667 0.333 0.500
0.333 0.667 0.000
```

# 17
The following is a GGA-PBEsol calculation of a relaxed InCoAs2 crystal, from the Alexandria database.

Formation enthalpy at 0 K, eV per formula unit: 0.204

Cell and atoms, written as POSCAR:
```
InCoAs2
1.0
-2.868 2.868 5.394
2.868 -2.868 5.394
2.868 2.868 -5.394
In Co As
2 2 4
Direct
0.000 0.000 0.000
0.750 0.250 0.500
0.250 0.750 0.500
0.500 0.500 0.000
0.198 0.625 0.073
0.375 0.448 0.573
0.552 0.125 0.927
0.875 0.802 0.427
```

# 18
The following is a GGA-PBEsol calculation of a relaxed Li2NiO3 crystal, from the Alexandria database.

VASP energy, eV/atom: -5.803

Cell and atoms, written as POSCAR:
```
Li2NiO3
1.0
2.420 -4.194 0.000
2.420 4.194 0.000
-1.629 0.000 9.300
Li Ni O
8 4 12
Direct
0.000 0.500 0.500
0.084 0.916 0.750
0.162 0.326 0.000
0.326 0.162 0.500
0.500 0.000 0.000
0.674 0.838 0.500
0.838 0.674 0.000
0.916 0.084 0.250
0.250 0.750 0.250
0.417 0.583 0.750
0.583 0.417 0.250
0.750 0.250 0.750
0.046 0.235 0.638
0.121 0.597 0.861
0.235 0.046 0.138
0.310 0.478 0.361
0.403 0.879 0.639
0.478 0.310 0.861
0.522 0.690 0.139
0.597 0.121 0.361
0.690 0.522 0.639
0.765 0.954 0.862
0.879 0.403 0.139
0.954 0.765 0.362
```

# 19
The following is a GGA-PBEsol calculation of a relaxed MoAs2 crystal, from the Alexandria database.

Formation enthalpy at 0 K, eV per formula unit: -0.935

Cell and atoms, written as POSCAR:
```
MoAs2
1.0
4.522 -1.639 0.000
4.522 1.639 0.000
-3.743 0.000 6.705
Mo As
2 4
Direct
0.153 0.153 0.201
0.847 0.847 0.799
0.146 0.146 0.532
0.402 0.402 0.107
0.598 0.598 0.893
0.854 0.854 0.468
```

# 20
The following is a GGA-PBEsol calculation of a relaxed SrRe2Ir crystal, from the Alexandria database.

Formation enthalpy at 0 K, eV per formula unit: 4.277
Excess energy over the best structure of this formula in the dataset, eV per atom: 0.1294

Cell and atoms, written as POSCAR:
```
SrRe2Ir
1.0
2.752 0.000 0.000
0.000 2.752 0.000
0.000 0.000 9.918
Sr Re Ir
1 2 1
Direct
0.000 0.000 0.000
0.000 0.000 0.313
0.500 0.500 0.738
0.500 0.500 0.482
```